Computed, not measured: a relaxed ScPaInAg crystal at the PBE level of DFT.

Unit cell a=5.133 b=5.133 c=5.133 alpha=60.00 beta=60.00 gamma=60.00
Last column: magnetic moment on the atom in μB.
Atoms (fractional coordinates):
Sc 0.500 0.500 0.500  0.38
Ag 0.250 0.250 0.250  0.04
Pa 0.000 0.000 0.000  0.95
In 0.750 0.750 0.750  -0.01

Calculated values
Magnetization ... 1.84 μB per cell
Energy relative to the elements ... 0.04 eV per atom
Crystal system ... cubic
Calculated total energy ... -0.19512 Ha/atom
Space-group type ... F-43m